*i*
Compound: Tm2PuTe
Source: Alexandria
Functional: GGA-PBE
Structure: relaxed

Properties
- DOS(E_F) (states/eV per atom) = 2.738
- M_tot (Bohr magnetons per cell) = 6.8
- SG = P-6m2

The structure in POSCAR format:
```
Tm2PuTe
1.0
3.743 0.000 -0.013
1.871 3.242 -0.009
0.034 0.007 9.864
Tm Pu Te
2 1 1
direct
0.296 0.699 0.169 Tm
0.297 0.699 0.730 Tm
0.630 0.033 0.450 Pu
0.630 0.032 0.950 Te
```


*ii*
Compound: Tm2PuTe
Source: Alexandria
Functional: GGA-PBE
Structure: relaxed

Properties
- DOS(E_F) (states/eV per atom) = 2.360
- M_tot (Bohr magnetons per cell) = 6.5
- SG = P4/mmm

The structure in POSCAR format:
```
Tm2PuTe
1.0
4.657 0.000 0.000
0.000 4.753 0.000
0.000 0.000 4.753
Pu Te Tm
1 1 2
direct
0.500 0.000 0.000 Pu
0.500 0.500 0.500 Te
0.000 0.500 0.000 Tm
0.000 0.000 0.500 Tm
```


*iii*
Compound: Tm2PuTe
Source: Alexandria
Functional: GGA-PBE
Structure: relaxed

Properties
- DOS(E_F) (states/eV per atom) = 2.621
- M_tot (Bohr magnetons per cell) = 7.0
- SG = R3m

The structure in POSCAR format:
```
Tm2PuTe
1.0
3.767 0.000 0.000
1.883 3.262 0.000
1.883 1.087 9.793
Tm Te Pu
2 1 1
direct
0.260 0.260 0.219 Tm
0.073 0.073 0.781 Tm
0.667 0.667 0.000 Te
0.500 0.500 0.500 Pu
```


Stability check: which of them is most stable? *i*.


*i*
Compound: YPuTe2
Source: Alexandria
Functional: GGA-PBE
Structure: relaxed

Properties
- DOS(E_F) (states/eV per atom) = 1.795
- M_tot (Bohr magnetons per cell) = 6.6
- SG = P4/mmm

The structure in POSCAR format:
```
YPuTe2
1.0
3.792 0.000 0.000
0.000 3.792 0.000
0.000 0.000 7.628
Pu Te Y
1 2 1
direct
0.500 0.500 0.500 Pu
0.000 0.000 0.755 Te
0.000 0.000 0.245 Te
0.500 0.500 0.000 Y
```


*ii*
Compound: YPuTe2
Source: Alexandria
Functional: GGA-PBE
Structure: relaxed

Properties
- DOS(E_F) (states/eV per atom) = 2.434
- M_tot (Bohr magnetons per cell) = 5.6
- SG = R3m

The structure in POSCAR format:
```
YPuTe2
1.0
-3.292 -1.794 1.978
-0.306 -4.223 0.203
2.797 -1.974 7.406
Pu Te Y
1 2 1
direct
0.670 0.670 0.990 Pu
0.084 0.084 0.749 Te
0.249 0.249 0.252 Te
0.497 0.497 0.508 Y
```


*iii*
Compound: YPuTe2
Source: Alexandria
Functional: GGA-PBE
Structure: relaxed

Properties
- DOS(E_F) (states/eV per atom) = 1.337
- M_tot (Bohr magnetons per cell) = 6.7
- SG = Fm-3m

The structure in POSCAR format:
```
YPuTe2
1.0
-4.881 0.999 -2.021
-2.189 -3.399 -3.544
-4.182 -3.058 1.438
Pu Te Y
1 2 1
direct
0.000 0.000 0.000 Pu
0.750 0.750 0.750 Te
0.250 0.250 0.250 Te
0.500 0.500 0.500 Y
```


*iv*
Compound: YPuTe2
Source: Alexandria
Functional: GGA-PBE
Structure: relaxed

Properties
- DOS(E_F) (states/eV per atom) = 3.150
- M_tot (Bohr magnetons per cell) = 12.3
- SG = P6_3/mmc

The structure in POSCAR format:
```
YPuTe2
1.0
-2.285 -3.297 -1.501
3.877 -0.675 1.691
-6.317 -1.874 13.737
Te Pu Y
4 2 2
direct
0.333 0.667 0.120 Te
0.333 0.667 0.380 Te
0.667 0.333 0.880 Te
0.667 0.333 0.620 Te
0.667 0.333 0.250 Pu
0.333 0.667 0.750 Pu
0.000 0.000 0.500 Y
0.000 0.000 0.000 Y
```


Stability check: which of them is most stable? *iv*.


*i*
Compound: Y2PuTe
Source: Alexandria
Functional: GGA-PBE
Structure: relaxed

Properties
- DOS(E_F) (states/eV per atom) = 1.957
- M_tot (Bohr magnetons per cell) = 6.2
- SG = P4/mmm

The structure in POSCAR format:
```
Y2PuTe
1.0
3.830 0.000 0.000
0.000 3.830 0.000
0.000 0.000 7.767
Te Pu Y
1 1 2
direct
0.500 0.500 0.500 Te
0.500 0.500 0.000 Pu
0.000 0.000 0.271 Y
0.000 0.000 0.729 Y
```


*ii*
Compound: Y2PuTe
Source: Alexandria
Functional: GGA-PBE
Structure: relaxed

Properties
- DOS(E_F) (states/eV per atom) = 2.960
- M_tot (Bohr magnetons per cell) = 7.0
- SG = R-3m

The structure in POSCAR format:
```
Y2PuTe
1.0
3.796 0.000 0.000
1.898 3.287 0.000
1.898 1.096 10.634
Y Te Pu
2 1 1
direct
0.899 0.899 0.302 Y
0.101 0.101 0.698 Y
0.500 0.500 0.500 Te
0.000 0.000 0.000 Pu
```


*iii*
Compound: Y2PuTe
Source: Alexandria
Functional: GGA-PBE
Structure: relaxed

Properties
- DOS(E_F) (states/eV per atom) = 2.679
- M_tot (Bohr magnetons per cell) = 7.1
- SG = R3m

The structure in POSCAR format:
```
Y2PuTe
1.0
3.836 0.000 0.000
1.918 3.322 0.000
1.918 1.107 9.834
Te Y Pu
1 2 1
direct
0.667 0.667 0.000 Te
0.261 0.261 0.218 Y
0.072 0.072 0.783 Y
0.500 0.500 0.500 Pu
```


Stability check: which of them is most stable? *i*.


*i*
Compound: PuZrTe3
Source: Alexandria
Functional: GGA-PBE
Structure: relaxed

Properties
- DOS(E_F) (states/eV per atom) = 2.521
- M_tot (Bohr magnetons per cell) = 22.3
- SG = Pbcm

The structure in POSCAR format:
```
PuZrTe3
1.0
6.287 0.000 0.000
0.000 7.695 0.089
0.000 -0.139 12.207
Te Pu Zr
12 4 4
direct
0.750 0.932 0.752 Te
0.750 0.412 0.898 Te
0.250 0.568 0.752 Te
0.750 0.432 0.248 Te
0.500 0.750 0.459 Te
0.250 0.068 0.248 Te
0.750 0.912 0.102 Te
0.250 0.088 0.898 Te
0.000 0.750 0.459 Te
0.000 0.250 0.541 Te
0.500 0.250 0.541 Te
0.250 0.588 0.102 Te
0.750 0.560 0.653 Pu
0.250 0.440 0.347 Pu
0.250 0.940 0.652 Pu
0.750 0.060 0.348 Pu
0.000 0.250 0.078 Zr
0.500 0.750 0.922 Zr
0.500 0.250 0.078 Zr
0.000 0.750 0.922 Zr
```


*ii*
Compound: PuZrTe3
Source: Alexandria
Functional: GGA-PBE
Structure: relaxed

Properties
- DOS(E_F) (states/eV per atom) = 2.520
- M_tot (Bohr magnetons per cell) = 22.3
- SG = Pnma

The structure in POSCAR format:
```
PuZrTe3
1.0
4.076 0.000 0.000
0.000 9.365 0.000
0.000 0.000 15.416
Te Pu Zr
12 4 4
direct
0.750 0.152 0.305 Te
0.750 0.986 0.877 Te
0.250 0.514 0.377 Te
0.750 0.843 0.461 Te
0.250 0.014 0.123 Te
0.250 0.848 0.695 Te
0.250 0.348 0.805 Te
0.750 0.486 0.623 Te
0.250 0.657 0.961 Te
0.750 0.652 0.195 Te
0.750 0.343 0.039 Te
0.250 0.157 0.539 Te
0.750 0.649 0.802 Pu
0.250 0.851 0.302 Pu
0.250 0.351 0.198 Pu
0.750 0.149 0.698 Pu
0.750 0.836 0.040 Zr
0.750 0.336 0.460 Zr
0.250 0.164 0.960 Zr
0.250 0.664 0.540 Zr
```


Stability check: which of them is most stable? *i*.


*i*
Compound: PuZrTe
Source: Alexandria
Functional: GGA-PBE
Structure: relaxed

Properties
- DOS(E_F) (states/eV per atom) = 1.250
- M_tot (Bohr magnetons per cell) = 0.0
- SG = P4/nmm

The structure in POSCAR format:
```
PuZrTe
1.0
3.510 0.000 0.000
0.000 3.510 0.000
0.000 0.000 11.283
Zr Pu Te
2 2 2
direct
0.000 0.500 0.233 Zr
0.500 0.000 0.767 Zr
0.000 0.500 0.957 Pu
0.500 0.000 0.043 Pu
0.500 0.000 0.364 Te
0.000 0.500 0.636 Te
```


*ii*
Compound: PuZrTe
Source: Alexandria
Functional: GGA-PBE
Structure: relaxed

Properties
- DOS(E_F) (states/eV per atom) = 2.924
- M_tot (Bohr magnetons per cell) = 5.6
- SG = P-6m2

The structure in POSCAR format:
```
PuZrTe
1.0
3.668 0.000 0.000
0.000 4.962 0.000
0.000 -2.481 4.297
Pu Te Zr
1 1 1
direct
0.667 0.667 0.333 Pu
0.166 0.000 0.000 Te
0.167 0.333 0.667 Zr
```


Stability check: which of them is most stable? *ii*.


*i*
Compound: Pu3Th
Source: Alexandria
Functional: GGA-PBE
Structure: relaxed

Properties
- DOS(E_F) (states/eV per atom) = 4.800
- M_tot (Bohr magnetons per cell) = 17.0
- SG = Pm-3m

The structure in POSCAR format:
```
Pu3Th
1.0
-1.530 0.889 -4.473
-4.397 -1.538 1.199
-1.209 4.470 1.302
Pu Th
3 1
direct
0.000 0.500 0.500 Pu
0.500 0.000 0.500 Pu
0.500 0.500 0.000 Pu
0.000 0.000 0.000 Th
```


*ii*
Compound: Pu3Th
Source: Alexandria
Functional: GGA-PBE
Structure: relaxed

Properties
- DOS(E_F) (states/eV per atom) = 3.116
- M_tot (Bohr magnetons per cell) = 5.3
- SG = Pmm2

The structure in POSCAR format:
```
Pu3Th
1.0
-3.073 -2.058 1.053
2.918 -3.151 2.357
-0.428 2.881 4.381
Pu Th
3 1
direct
0.500 0.000 0.460 Pu
0.000 0.500 0.458 Pu
0.500 0.500 0.765 Pu
0.000 0.000 0.983 Th
```


Stability check: which of them is most stable? *ii*.


*i*
Compound: PuThTl
Source: Alexandria
Functional: GGA-PBE
Structure: relaxed

Properties
- DOS(E_F) (states/eV per atom) = 3.192
- M_tot (Bohr magnetons per cell) = 6.5
- SG = I4mm

The structure in POSCAR format:
```
PuThTl
1.0
-3.347 1.158 -1.974
0.692 -2.821 -2.828
-1.431 -2.546 5.096
Pu Th Tl
1 1 1
direct
0.667 0.667 0.333 Pu
0.332 0.332 0.663 Th
0.002 0.002 0.003 Tl
```


*ii*
Compound: PuThTl
Source: Alexandria
Functional: GGA-PBE
Structure: relaxed

Properties
- DOS(E_F) (states/eV per atom) = 2.344
- M_tot (Bohr magnetons per cell) = 6.7
- SG = P3m1

The structure in POSCAR format:
```
PuThTl
1.0
-0.262 2.382 2.389
-1.484 -3.731 3.558
5.192 1.197 -0.624
Tl Th Pu
1 1 1
direct
0.969 0.000 0.000 Tl
0.345 0.667 0.333 Th
0.686 0.333 0.667 Pu
```


Stability check: which of them is most stable? *i*.


*i*
Compound: Tm4PuTh
Source: Alexandria
Functional: GGA-PBE
Structure: relaxed

Properties
- DOS(E_F) (states/eV per atom) = 2.427
- M_tot (Bohr magnetons per cell) = 12.5
- SG = P2_1/m

The structure in POSCAR format:
```
Tm4PuTh
1.0
5.495 0.853 0.000
-1.526 9.364 0.000
0.000 0.000 6.814
Tm Th Pu
8 2 2
direct
0.248 0.745 0.498 Tm
0.754 0.914 0.250 Tm
0.752 0.255 0.998 Tm
0.740 0.574 0.250 Tm
0.248 0.745 0.002 Tm
0.260 0.426 0.750 Tm
0.246 0.086 0.750 Tm
0.752 0.255 0.502 Tm
0.257 0.114 0.250 Th
0.743 0.886 0.750 Th
0.240 0.417 0.250 Pu
0.760 0.583 0.750 Pu
```


*ii*
Compound: Tm4PuTh
Source: Alexandria
Functional: GGA-PBE
Structure: relaxed

Properties
- DOS(E_F) (states/eV per atom) = 2.606
- M_tot (Bohr magnetons per cell) = 0.2
- SG = C2/m

The structure in POSCAR format:
```
Tm4PuTh
1.0
1.726 8.315 -1.002
-1.726 8.315 -1.002
0.000 1.382 5.805
Pu Tm Th
1 4 1
direct
0.500 0.500 0.000 Pu
0.838 0.838 0.891 Tm
0.335 0.335 0.387 Tm
0.665 0.665 0.613 Tm
0.162 0.162 0.109 Tm
0.000 0.000 0.500 Th
```


Stability check: which of them is most stable? *i*.


*i*
Compound: YPuTh
Source: Alexandria
Functional: GGA-PBE
Structure: relaxed

Properties
- DOS(E_F) (states/eV per atom) = 2.438
- M_tot (Bohr magnetons per cell) = 5.5
- SG = I4mm

The structure in POSCAR format:
```
YPuTh
1.0
-0.766 2.799 2.036
-0.239 -2.123 2.829
7.547 0.630 -1.111
Th Y Pu
1 1 1
direct
0.993 0.993 0.987 Th
0.667 0.667 0.333 Y
0.340 0.340 0.680 Pu
```


*ii*
Compound: YPuTh
Source: Alexandria
Functional: GGA-PBE
Structure: relaxed

Properties
- DOS(E_F) (states/eV per atom) = 3.014
- M_tot (Bohr magnetons per cell) = 5.9
- SG = P3m1

The structure in POSCAR format:
```
YPuTh
1.0
-2.386 2.611 0.019
0.120 -2.267 -2.713
-5.494 -5.050 3.978
Th Pu Y
1 1 1
direct
0.000 0.000 0.991 Th
0.333 0.667 0.675 Pu
0.667 0.333 0.334 Y
```


Stability check: which of them is most stable? *i*.


*i*
Compound: Y2PuTh
Source: Alexandria
Functional: GGA-PBE
Structure: relaxed

Properties
- DOS(E_F) (states/eV per atom) = 3.450
- M_tot (Bohr magnetons per cell) = 6.4
- SG = P4/mmm

The structure in POSCAR format:
```
Y2PuTh
1.0
5.120 0.000 0.000
0.000 4.891 0.000
0.000 0.000 4.891
Th Pu Y
1 1 2
direct
0.500 0.000 0.000 Th
0.500 0.500 0.500 Pu
0.000 0.500 0.000 Y
0.000 0.000 0.500 Y
```


*ii*
Compound: Y2PuTh
Source: Alexandria
Functional: GGA-PBE
Structure: relaxed

Properties
- DOS(E_F) (states/eV per atom) = 3.423
- M_tot (Bohr magnetons per cell) = 6.3
- SG = Fm-3m

The structure in POSCAR format:
```
Y2PuTh
1.0
5.628 0.000 0.000
2.814 4.874 0.000
2.814 1.625 4.597
Pu Th Y
1 1 2
direct
0.000 0.000 0.000 Pu
0.500 0.500 0.500 Th
0.750 0.750 0.750 Y
0.250 0.250 0.250 Y
```


Stability check: which of them is most stable? *i*.


*i*
Compound: Y2PuTh
Source: Alexandria
Functional: GGA-PBE
Structure: relaxed

Properties
- DOS(E_F) (states/eV per atom) = 3.101
- M_tot (Bohr magnetons per cell) = 5.9
- SG = R3m

The structure in POSCAR format:
```
Y2PuTh
1.0
3.530 0.001 0.001
1.766 3.057 0.001
1.767 1.020 11.576
Th Y Pu
1 2 1
direct
0.500 0.500 0.499 Th
0.252 0.252 0.246 Y
0.082 0.082 0.755 Y
0.666 0.666 0.000 Pu
```


*ii*
Compound: Y2PuTh
Source: Alexandria
Functional: GGA-PBE
Structure: relaxed

Properties
- DOS(E_F) (states/eV per atom) = 2.554
- M_tot (Bohr magnetons per cell) = 6.6
- SG = P4/mmm

The structure in POSCAR format:
```
Y2PuTh
1.0
-1.846 3.227 -1.555
-3.195 -2.275 -0.928
-3.094 1.543 6.874
Y Pu Th
2 1 1
direct
0.000 0.000 0.737 Y
0.000 0.000 0.263 Y
0.500 0.500 0.500 Pu
0.500 0.500 0.000 Th
```


Stability check: which of them is most stable? *i*.